No. 1
Here is a relaxed structure of Ag2PbSe from the Alexandria database. Energies are from PBE.

ΔE_f (raw)   0.05 eV per atom
Crystal system   tetragonal
Final energy   -3.17 eV per atom
Calculated volume   23.607 A^3/atom
D(E_F)   2.981 states/eV per cell
Total moment   0.000 Bohr magnetons per cell

a = 7.8430 Å, b = 7.8430 Å, c = 6.3390 Å
α = 51.78°, β = 51.78°, γ = 90.00°
Closest atoms and distances in Å follow each position.
Positions (direct):
Se1 0.2500 0.7500 0.5000  4 Ag 2.72
Se2 0.5000 0.5000 0.0000  4 Ag 2.72
Pb1 0.0000 0.0000 0.0000  4 Ag 3.05, 2 Se 3.07
Pb2 0.7500 0.2500 0.5000  4 Ag 3.05, 2 Se 3.07
Ag1 0.5939 0.1250 0.2500  2 Se 2.72
Ag2 0.3750 0.4061 0.7500  2 Se 2.72
Ag3 0.8750 0.8439 0.7500  2 Se 2.72
Ag4 0.1561 0.6250 0.2500  2 Se 2.72

=====

No. 2
Here is a relaxed structure of BeHg2 from the Alexandria database. Energies are from PBE.

Crystal system   hexagonal
Energy above the lowest structure with this stoichiometry   175 meV per atom
Final energy   -0.97 eV per atom
Calculated volume   20.003 A^3/atom
Energy of formation from the pure elements   0.478 eV/atom
D(E_F)   1.602 states/eV per cell
Total moment   0.000 Bohr magnetons per cell

a = 4.3035 Å, b = 4.3035 Å, c = 7.4830 Å
α = 90.00°, β = 90.00°, γ = 120.00°
Closest atoms and distances in Å follow each position.
Positions (direct):
Be1 0.3333 0.6667 0.2500  3 Hg 2.48
Be2 0.6667 0.3333 0.7500  3 Hg 2.48
Hg1 0.6667 0.3333 0.2500  3 Be 2.48
Hg2 0.0000 0.0000 0.5000  6 Hg 3.11, 6 Be 3.11
Hg3 0.3333 0.6667 0.7500  3 Be 2.48
Hg4 0.0000 0.0000 0.0000  6 Hg 3.11, 6 Be 3.11

=====

No. 3
Here is a relaxed structure of TlSiRh from the Alexandria database. Energies are from PBE.

ΔE_f (raw)   0.09 eV per atom
Crystal system   cubic
Energy above the lowest structure with this stoichiometry   174 meV per atom
Final energy   -4.95 eV per atom
Calculated volume   19.838 A^3/atom
D(E_F)   1.437 states/eV per cell
Total moment   0.000 Bohr magnetons per cell

a = 4.3824 Å, b = 4.3824 Å, c = 4.3824 Å
α = 60.00°, β = 60.00°, γ = 60.00°
Closest atoms and distances in Å follow each position.
Positions (direct):
Rh1 0.7500 0.7500 0.7500  4 Si 2.68, 4 Tl 2.68
Si1 0.0000 0.0000 0.0000  4 Rh 2.68
Tl1 0.5000 0.5000 0.5000  4 Rh 2.68

=====

No. 4
Here is a relaxed structure of Er12Tl6Co from the Alexandria database. Energies are from PBE.

Crystal system   trigonal
Final energy   -4.14 eV per atom
Calculated volume   29.053 A^3/atom
Energy of formation from the pure elements   -0.136 eV/atom
D(E_F)   17.598 states/eV per cell
Total moment   0.000 Bohr magnetons per cell

a = 8.2276 Å, b = 8.2276 Å, c = 8.2276 Å
α = 94.30°, β = 94.30°, γ = 94.30°
Closest atoms and distances in Å follow each position.
Positions (direct):
Tl1 0.8639 0.2660 0.6437  8 Er 3.09-3.40
Tl2 0.7340 0.3563 0.1361  8 Er 3.09-3.40
Tl3 0.2660 0.6437 0.8639  8 Er 3.09-3.40
Tl4 0.1361 0.7340 0.3563  8 Er 3.09-3.40
Tl5 0.3563 0.1361 0.7340  8 Er 3.09-3.40
Tl6 0.6437 0.8639 0.2660  8 Er 3.09-3.40
Er1 0.7940 0.5785 0.4588  4 Tl 3.09-3.20
Er2 0.0276 0.9169 0.6950  1 Co 2.58
Er3 0.3050 0.9724 0.0831  1 Co 2.58
Er4 0.5412 0.2060 0.4215  4 Tl 3.09-3.20
Er5 0.5785 0.4588 0.7940  4 Tl 3.09-3.20
Er6 0.6950 0.0276 0.9169  1 Co 2.58
Er7 0.9724 0.0831 0.3050  1 Co 2.58
Er8 0.4215 0.5412 0.2060  4 Tl 3.09-3.20
Er9 0.2060 0.4215 0.5412  4 Tl 3.09-3.20
Er10 0.9169 0.6950 0.0276  1 Co 2.58
Er11 0.0831 0.3050 0.9724  1 Co 2.58
Er12 0.4588 0.7940 0.5785  4 Tl 3.09-3.20
Co1 0.0000 0.0000 0.0000  6 Er 2.58

=====

No. 5
Here is a relaxed structure of CuPPt2 from the Alexandria database. Energies are from PBE.

Crystal system   tetragonal
Energy above the lowest structure with this stoichiometry   61 meV per atom
Final energy   -5.52 eV per atom
Calculated volume   14.895 A^3/atom
Energy of formation from the pure elements   -0.123 eV/atom
D(E_F)   1.133 states/eV per cell
Total moment   0.000 Bohr magnetons per cell

a = 3.4645 Å, b = 3.4652 Å, c = 4.9629 Å
α = 90.00°, β = 90.00°, γ = 90.00°
Closest atoms and distances in Å follow each position.
Positions (direct):
P1 0.5000 0.5000 0.8094  6 Pt 2.45-2.54
Cu1 0.0000 0.0000 0.4442  6 Pt 2.48-2.55
Pt1 0.0000 0.0000 0.9430  2 Cu 2.48-2.49, 4 P 2.54
Pt2 0.5000 0.5000 0.3034  2 P 2.45-2.51, 4 Cu 2.55

=====

No. 6
Here is a relaxed structure of Tm3GePt from the Alexandria database. Energies are from PBE.

Crystal system   monoclinic
Final energy   -5.67 eV per atom
Calculated volume   24.303 A^3/atom
Energy of formation from the pure elements   -0.858 eV/atom
D(E_F)   8.269 states/eV per cell
Total moment   0.000 Bohr magnetons per cell

a = 4.2387 Å, b = 7.4871 Å, c = 8.1064 Å
α = 109.15°, β = 90.00°, γ = 90.00°
Closest atoms and distances in Å follow each position.
Positions (direct):
Tm1 0.7500 0.3226 0.9457  1 Pt 2.72, 2 Ge 2.99
Tm2 0.7500 0.6533 0.4038  3 Pt 2.92-3.11, 3 Ge 3.08-3.12
Tm3 0.2500 0.9235 0.7560  3 Pt 2.87-2.95, 2 Ge 3.06
Tm4 0.7500 0.0765 0.2440  3 Pt 2.87-2.95, 2 Ge 3.06
Tm5 0.2500 0.3467 0.5962  3 Pt 2.92-3.11, 3 Ge 3.08-3.12
Tm6 0.2500 0.6774 0.0543  1 Pt 2.72, 2 Ge 2.99
Ge1 0.7500 0.6406 0.7847  8 Tm 2.99-3.12
Ge2 0.2500 0.3594 0.2152  8 Tm 2.99-3.12
Pt1 0.2500 0.9162 0.3899  6 Tm 2.72-2.95, 2 Pt 2.79
Pt2 0.7500 0.0838 0.6101  6 Tm 2.72-2.95, 2 Pt 2.79

=====

No. 7
Here is a relaxed structure of LaSmEr2Bi4 from the Alexandria database. Energies are from PBE.

Crystal system   monoclinic
Final energy   -5.18 eV per atom
Calculated volume   33.135 A^3/atom
Energy of formation from the pure elements   -0.897 eV/atom
D(E_F)   1.169 states/eV per cell
Total moment   0.000 Bohr magnetons per cell

a = 4.5504 Å, b = 7.8513 Å, c = 7.8723 Å
α = 70.47°, β = 90.00°, γ = 90.00°
Closest atoms and distances in Å follow each position.
Positions (direct):
Bi1 0.5000 0.2398 0.7501  3 Er 3.15-3.18, 2 Sm 3.25, 1 La 3.28
Bi2 0.0000 0.2375 0.2576  3 Er 3.15-3.18, 1 Sm 3.24, 2 La 3.28
Bi3 0.0000 0.7625 0.7424  3 Er 3.15-3.18, 1 Sm 3.24, 2 La 3.28
Bi4 0.5000 0.7602 0.2499  3 Er 3.15-3.18, 2 Sm 3.25, 1 La 3.28
Er1 0.0000 0.0000 0.0000  6 Bi 3.18
Er2 0.5000 0.0000 0.5000  6 Bi 3.15
Sm1 0.0000 0.5000 0.5000  6 Bi 3.24-3.25
La1 0.5000 0.5000 0.0000  6 Bi 3.28

=====

No. 8
Here is a relaxed structure of PaAsRhO from the Alexandria database. Energies are from PBE.

ΔE_f (raw)   -1.86 eV per atom
Crystal system   tetragonal
Final energy   -8.47 eV per atom
Calculated volume   15.889 A^3/atom
D(E_F)   6.041 states/eV per cell
Total moment   0.000 Bohr magnetons per cell

a = 3.9469 Å, b = 3.9469 Å, c = 8.1597 Å
α = 90.00°, β = 90.00°, γ = 90.00°
Closest atoms and distances in Å follow each position.
Positions (direct):
Pa1 0.0000 0.5000 0.3364  4 O 2.38
Pa2 0.5000 0.0000 0.6636  4 O 2.38
As1 0.0000 0.5000 0.8127  4 Rh 2.50
As2 0.5000 0.0000 0.1873  4 Rh 2.50
O1 0.5000 0.5000 0.5000  4 Pa 2.38
O2 0.0000 0.0000 0.5000  4 Pa 2.38
Rh1 0.5000 0.5000 0.0000  4 As 2.50, 4 Rh 2.79
Rh2 0.0000 0.0000 0.0000  4 As 2.50, 4 Rh 2.79

=====

No. 9
Here is a relaxed structure of Pm4Nd3Dy2 from the Alexandria database. Energies are from PBE.

Crystal system   trigonal
Energy above the lowest structure with this stoichiometry   54 meV per atom
Final energy   -4.66 eV per atom
Calculated volume   34.478 A^3/atom
Energy of formation from the pure elements   0.068 eV/atom
D(E_F)   16.537 states/eV per cell
Total moment   0.000 Bohr magnetons per cell

a = 3.6378 Å, b = 3.6378 Å, c = 27.0748 Å
α = 90.00°, β = 90.00°, γ = 120.00°
Closest atoms and distances in Å follow each position.
Positions (direct):
Pm1 0.6667 0.3333 0.2131  1 Dy 3.39, 3 Nd 3.59, 6 Pm 3.64
Pm2 0.0000 0.0000 0.5432  9 Pm 3.62-3.64, 3 Nd 3.68
Pm3 0.0000 0.0000 0.7673  3 Dy 3.55, 6 Pm 3.64, 3 Nd 3.70
Pm4 0.6667 0.3333 0.4343  9 Pm 3.62-3.64, 3 Nd 3.73
Nd1 0.6667 0.3333 0.6549  6 Nd 3.64, 6 Pm 3.68-3.70
Nd2 0.0000 0.0000 0.9831  6 Dy 3.53-3.65, 6 Nd 3.64
Nd3 0.0000 0.0000 0.3205  6 Pm 3.59-3.73, 6 Nd 3.64
Dy1 0.6667 0.3333 0.8729  3 Pm 3.55, 6 Dy 3.64, 3 Nd 3.65
Dy2 0.6667 0.3333 0.0878  1 Pm 3.39, 3 Nd 3.53, 6 Dy 3.64

=====

No. 10
Here is a relaxed structure of KBeMo2 from the Alexandria database. Energies are from PBE.

Crystal system   orthorhombic
Final energy   -5.26 eV per atom
Calculated volume   21.452 A^3/atom
Energy of formation from the pure elements   1.363 eV/atom
D(E_F)   3.851 states/eV per cell
Total moment   0.002 Bohr magnetons per cell

a = 5.8195 Å, b = 5.8195 Å, c = 5.8195 Å
α = 149.17°, β = 120.65°, γ = 68.38°
Closest atoms and distances in Å follow each position.
Positions (direct):
Mo1 0.0573 0.0573 0.0000  2 Mo 2.35
Mo2 0.2406 0.7406 0.5000  2 Mo 2.35, 2 Be 2.55
K1 0.7507 0.2507 0.5000  2 K 3.09, 2 Be 3.27, 8 Mo 3.27-3.43
Be1 0.4514 0.4514 0.0000  2 Mo 2.55

=====

No. 11
Here is a relaxed structure of Tb4NdTl from the Alexandria database. Energies are from PBE.

Crystal system   monoclinic
Energy above the lowest structure with this stoichiometry   80 meV per atom
Final energy   -4.30 eV per atom
Calculated volume   31.822 A^3/atom
Energy of formation from the pure elements   -0.025 eV/atom
D(E_F)   13.949 states/eV per cell
Total moment   0.000 Bohr magnetons per cell

a = 6.5003 Å, b = 9.0628 Å, c = 8.3319 Å
α = 112.71°, β = 99.79°, γ = 113.87°
Closest atoms and distances in Å follow each position.
Positions (direct):
Tb1 0.7562 0.7143 0.6208  2 Tl 3.24, 5 Tb 3.28-3.62, 1 Nd 3.62
Tb2 0.3646 0.9065 0.6208  2 Tl 3.24, 5 Tb 3.28-3.62, 1 Nd 3.62
Tb3 0.0384 0.1584 0.7491  3 Tb 3.28-3.61, 2 Tl 3.36-3.38, 2 Nd 3.54-3.55
Tb4 0.2438 0.2857 0.3792  2 Tl 3.24, 5 Tb 3.28-3.62, 1 Nd 3.62
Tb5 0.7893 0.4093 0.2509  3 Tb 3.28-3.61, 2 Tl 3.36-3.38, 2 Nd 3.54-3.55
Tb6 0.2107 0.5907 0.7491  3 Tb 3.28-3.61, 2 Tl 3.36-3.38, 2 Nd 3.54-3.55
Tb7 0.9616 0.8416 0.2509  3 Tb 3.28-3.61, 2 Tl 3.36-3.38, 2 Nd 3.54-3.55
Tb8 0.6354 0.0935 0.3792  2 Tl 3.24, 5 Tb 3.28-3.62, 1 Nd 3.62
Nd1 0.6609 0.4109 0.8218  10 Tb 3.54-3.95
Nd2 0.3391 0.5891 0.1782  10 Tb 3.54-3.95
Tl1 0.7498 0.9998 0.9996  8 Tb 3.24-3.38, 2 Tl 3.25
Tl2 0.2502 0.0002 0.0004  8 Tb 3.24-3.38, 2 Tl 3.25

=====

No. 12
Here is a relaxed structure of UMnRe2 from the Alexandria database. Energies are from PBE.

Crystal system   tetragonal
Energy above the lowest structure with this stoichiometry   0 meV per atom
Final energy   -11.19 eV per atom
Calculated volume   16.565 A^3/atom
Energy of formation from the pure elements   0.146 eV/atom
D(E_F)   4.276 states/eV per cell
Total moment   3.510 Bohr magnetons per cell

a = 3.4525 Å, b = 4.3809 Å, c = 4.3809 Å
α = 90.00°, β = 90.00°, γ = 90.00°
Closest atoms and distances in Å follow each position.
Positions (direct):
Re1 0.0000 0.0000 0.5000  4 Mn 2.79, 4 U 2.79, 4 Re 3.10
Re2 0.0000 0.5000 0.0000  4 Mn 2.79, 4 U 2.79, 4 Re 3.10
Mn1 0.5000 0.5000 0.5000  8 Re 2.79, 4 U 3.10
U1 0.5000 0.0000 0.0000  8 Re 2.79, 4 Mn 3.10

=====

Q: calculated volume of number 2 (BeHg2)?
A: 20.003 A^3/atom

=====

Q: Which value of D(E_F) does entry 5 give?
A: 1.133 states/eV per cell